No. 1
Compound: ZnCd4Ag2
Source: Alexandria
Functional: GGA-PBE
Structure: relaxed

Calculated values
Space group   I4/mmm
ΔH_f (0 K)   33.7 kJ per mole of atoms
Relative energy among the computed polymorphs   0.346 eV per atom
Density of states at the Fermi level   0.33 states/eV per atom

Unit cell a=4.9618 b=4.9618 c=8.1865 alpha=107.64 beta=107.64 gamma=90.00
With the nearest neighbours (Å) after each atom.
Fractional positions:
Zn 0.0000 0.0000 0.0000  4 Cd 2.48, 2 Ag 2.55
Cd 0.6435 0.6435 0.2870  1 Ag 2.72
Cd 0.3565 0.3565 0.7130  1 Ag 2.72
Cd 0.0000 0.5000 0.0000  2 Zn 2.48
Cd 0.5000 0.0000 0.0000  2 Zn 2.48
Ag 0.8273 0.8273 0.6547  1 Zn 2.55, 1 Cd 2.72
Ag 0.1727 0.1727 0.3453  1 Zn 2.55, 1 Cd 2.72

No. 2
Compound: H3RhSe
Source: Alexandria
Functional: GGA-PBE
Structure: relaxed

Calculated values
Space group   Pm-3m
Relative energy among the computed polymorphs   0.000 eV per atom
Density of states at the Fermi level   0.60 states/eV per atom

Unit cell a=3.5868 b=3.5868 c=3.5868 alpha=90.00 beta=90.00 gamma=90.00
With the nearest neighbours (Å) after each atom.
Fractional positions:
H 0.0000 0.5000 0.0000  2 Rh 1.79
H 0.0000 0.0000 0.5000  2 Rh 1.79
H 0.5000 0.0000 0.0000  2 Rh 1.79
Rh 0.0000 0.0000 0.0000  6 H 1.79
Se 0.5000 0.5000 0.5000  12 H 2.54

No. 3
Compound: Tm5Cu2Pb5
Source: Alexandria
Functional: GGA-PBE
Structure: relaxed

Calculated values
Space group   C2/m
ΔH_f (0 K)   -33.0 kJ per mole of atoms
Density of states at the Fermi level   0.47 states/eV per atom

Unit cell a=4.5231 b=8.4772 c=8.6259 alpha=94.78 beta=74.80 gamma=74.53
With the nearest neighbours (Å) after each atom.
Fractional positions:
Tm 0.0000 0.5000 0.5000  4 Cu 3.13, 6 Pb 3.19-3.20
Tm 0.6933 0.6954 0.9180  3 Cu 3.08-3.25, 7 Pb 3.15-3.40
Tm 0.3622 0.9509 0.3247  5 Pb 3.16-3.22, 1 Cu 3.42
Tm 0.6378 0.0491 0.6753  5 Pb 3.16-3.22, 1 Cu 3.42
Tm 0.3067 0.3046 0.0820  3 Cu 3.08-3.25, 7 Pb 3.15-3.40
Cu 0.3865 0.4728 0.7542  3 Pb 2.70-2.74
Cu 0.6135 0.5272 0.2458  3 Pb 2.70-2.74
Pb 0.6982 0.2357 0.3679  1 Cu 2.74
Pb 0.9431 0.3078 0.8059  2 Cu 2.70
Pb 0.0569 0.6922 0.1941  2 Cu 2.70
Pb 0.3018 0.7643 0.6321  1 Cu 2.74
Pb 0.0000 0.0000 0.0000  4 Pb 3.21-3.34, 4 Tm 3.35

No. 4
Compound: Ti2Cr2Sn
Source: Alexandria
Functional: GGA-PBE
Structure: relaxed

Calculated values
Space group   P4/mbm
ΔH_f (0 K)   -0.3 kJ per mole of atoms
Density of states at the Fermi level   1.01 states/eV per atom

Unit cell a=7.0579 b=7.0579 c=3.1728 alpha=90.00 beta=90.00 gamma=90.00
With the nearest neighbours (Å) after each atom.
Fractional positions:
Cr 0.4001 0.9001 0.0000  1 Cr 1.99
Cr 0.9001 0.5999 0.0000  1 Cr 1.99
Cr 0.5999 0.0999 0.0000  1 Cr 1.99
Cr 0.0999 0.4001 0.0000  1 Cr 1.99
Sn 0.0000 0.0000 0.0000  4 Cr 2.91, 8 Ti 3.01, 2 Sn 3.17
Sn 0.5000 0.5000 0.0000  4 Cr 2.91, 8 Ti 3.01, 2 Sn 3.17
Ti 0.1930 0.6930 0.5000  6 Cr 2.61-2.69
Ti 0.6930 0.8070 0.5000  6 Cr 2.61-2.69
Ti 0.8070 0.3070 0.5000  6 Cr 2.61-2.69
Ti 0.3070 0.1930 0.5000  6 Cr 2.61-2.69

Number 1: magnetic moment 0.0 μB/f.u., final energy -0.0430 Ha/atom. Number 2: magnetic moment 0.0 μB/f.u., final energy -0.1339 Ha/atom. Number 3: magnetic moment 0.0 μB/f.u., final energy -0.1629 Ha/atom. Number 4: magnetic moment 0.0 μB/f.u., final energy -0.2871 Ha/atom.